No. 1
TbY2PaCo2 | PBE-GGA | relaxed

Symmetry: No. 72
Total energy (eV per cell): -84.81
Total moment (μB/f.u.): 0.00
Crystal system: orthorhombic

Cell: 7.933 7.933 7.933 Å, 128.64 74.71 129.74°
Fractional positions:
Tb  0.250  0.250  0.000
Tb  0.750  0.750  0.000
Y  0.202  0.700  0.902
Y  0.298  0.200  0.498
Y  0.702  0.800  0.502
Y  0.798  0.300  0.098
Pa  0.250  0.750  0.500
Pa  0.750  0.250  0.500
Co  0.088  0.295  0.383
Co  0.412  0.795  0.207
Co  0.588  0.205  0.793
Co  0.912  0.705  0.617

No. 2
Li2Al9Ga | PBE-GGA | relaxed

Symmetry: No. 123
Total energy (eV per cell): -41.01
Total moment (μB/f.u.): 0.00
Crystal system: tetragonal

Cell: 4.087 4.087 11.879 Å, 90.00 90.00 90.00°
Fractional positions:
Li  0.000  0.000  0.164
Li  0.000  0.000  0.836
Al  0.000  0.500  0.000
Al  0.000  0.500  0.332
Al  0.000  0.500  0.668
Al  0.500  0.000  0.000
Al  0.500  0.000  0.332
Al  0.500  0.000  0.668
Al  0.500  0.500  0.169
Al  0.500  0.500  0.500
Al  0.500  0.500  0.831
Ga  0.000  0.000  0.500

Among the records above, which one has the lowest total energy? TbY2PaCo2

total moment of number 2 (Li2Al9Ga)? 0.00 μB/f.u.

What did the first record say?
TbY2PaCo2 | PBE-GGA | relaxed

Symmetry: No. 72
Total energy (eV per cell): -84.81
Total moment (μB/f.u.): 0.00
Crystal system: orthorhombic

Cell: 7.933 7.933 7.933 Å, 128.64 74.71 129.74°
Fractional positions:
Tb  0.250  0.250  0.000
Tb  0.750  0.750  0.000
Y  0.202  0.700  0.902
Y  0.298  0.200  0.498
Y  0.702  0.800  0.502
Y  0.798  0.300  0.098
Pa  0.250  0.750  0.500
Pa  0.750  0.250  0.500
Co  0.088  0.295  0.383
Co  0.412  0.795  0.207
Co  0.588  0.205  0.793
Co  0.912  0.705  0.617

total energy of number 2 (Li2Al9Ga)? -41.01 eV per cell